The following is a PBE calculation of a geometry-optimized Mg2NiB structure, from Alexandria via LeMat-Bulk.

Lattice parameters (Å, degrees): 8.998 8.998 3.778 90.00 90.00 90.00
Space group I4_1/amd (No. 141, origin choice 2)
One atom of each set of equivalent atoms:
Mg1 0.000 0.000 0.000 [8 per cell]
Ni1 0.000 0.250 0.375 [4 per cell]
B1 0.000 0.250 0.875 [4 per cell]

Computed properties:
The density of states at the Fermi level is 8.7 states/eV per cell. The formation energy comes out at 0.15 eV per atom. The total DFT energy (no corrections) is -3.76 eV/atom.